The following is a DFT calculation (PBE) of a relaxed structure of SrLiTeI2.

Values from the calculation:
- Symmetry: P4/mmm, No. 123
- Raw formation energy: -0.916 eV per atom
- N(E_F): 4.90 states/eV/cell

Unit cell a=5.5074 b=5.5074 c=5.5265 alpha=90.00 beta=90.00 gamma=90.00
Last column: nearest neighbours and their distance in Å.
Sites, in units of the cell vectors:
Sr (0.0000, 0.0000, 0.0000)  4 Te 3.89, 8 I 3.90
Li (0.5000, 0.5000, 0.5000)  4 I 2.75, 2 Te 2.76
Te (0.5000, 0.5000, 0.0000)  2 Li 2.76
I (0.0000, 0.5000, 0.5000)  2 Li 2.75
I (0.5000, 0.0000, 0.5000)  2 Li 2.75

=====

The following is a DFT calculation (PBE) of a relaxed structure of Dy6NiSn3.

Values from the calculation:
- Symmetry: Cmc2_1, No. 36
- N(E_F): 19.66 states/eV/cell
- Energy of formation: -0.407 eV/atom

Unit cell a=9.1805 b=9.1805 c=6.8728 alpha=90.00 beta=90.00 gamma=105.52
Last column: nearest neighbours and their distance in Å.
Sites, in units of the cell vectors:
Dy (0.0549, 0.9451, 0.5000)  1 Ni 2.63
Dy (0.1168, 0.5348, 0.1126)  1 Ni 2.76, 2 Sn 3.00-3.02
Dy (0.2253, 0.3251, 0.7354)  4 Sn 3.10-3.21
Dy (0.2943, 0.7057, 0.5601)  1 Ni 3.18, 1 Dy 3.52
Dy (0.3251, 0.2253, 0.2354)  4 Sn 3.10-3.21
Dy (0.4652, 0.8832, 0.1126)  1 Ni 2.76, 2 Sn 3.00-3.02
Dy (0.5348, 0.1168, 0.6126)  1 Ni 2.76, 2 Sn 3.00-3.02
Dy (0.6749, 0.7747, 0.7354)  4 Sn 3.10-3.21
Dy (0.7057, 0.2943, 0.0601)  1 Ni 3.18, 1 Dy 3.52
Dy (0.7747, 0.6749, 0.2354)  4 Sn 3.10-3.21
Dy (0.8832, 0.4652, 0.6126)  1 Ni 2.76, 2 Sn 3.00-3.02
Dy (0.9451, 0.0549, 0.0000)  1 Ni 2.63
Ni (0.1621, 0.8379, 0.1929)  3 Dy 2.63-2.76, 2 Sn 2.75
Ni (0.8379, 0.1621, 0.6929)  3 Dy 2.63-2.76, 2 Sn 2.75
Sn (0.0140, 0.2593, 0.3701)  1 Ni 2.75, 2 Dy 3.00-3.02, 1 Sn 3.04
Sn (0.2593, 0.0140, 0.8701)  1 Ni 2.75, 2 Dy 3.00-3.02, 1 Sn 3.04
Sn (0.4581, 0.5419, 0.0273)  6 Dy 3.17-3.21
Sn (0.5419, 0.4581, 0.5273)  6 Dy 3.17-3.21
Sn (0.7407, 0.9860, 0.3701)  1 Ni 2.75, 2 Dy 3.00-3.02, 1 Sn 3.04
Sn (0.9860, 0.7407, 0.8701)  1 Ni 2.75, 2 Dy 3.00-3.02, 1 Sn 3.04

=====

The following is a DFT calculation (PBE) of a relaxed structure of Sn2IN.

Values from the calculation:
- Symmetry: Fm-3m, No. 225
- Raw formation energy: 1.127 eV per atom
- N(E_F): 3.97 states/eV/cell

Unit cell a=5.1535 b=5.1535 c=5.1535 alpha=60.00 beta=60.00 gamma=60.00
Last column: nearest neighbours and their distance in Å.
Sites, in units of the cell vectors:
Sn (0.2500, 0.2500, 0.2500)  4 I 3.16, 4 N 3.16
Sn (0.7500, 0.7500, 0.7500)  4 I 3.16, 4 N 3.16
I (0.0000, 0.0000, 0.0000)  8 Sn 3.16
N (0.5000, 0.5000, 0.5000)  8 Sn 3.16

=====

The following is a DFT calculation (PBE) of a relaxed structure of HgRu3N.

Values from the calculation:
- Symmetry: Pm-3m, No. 221
- Raw formation energy: 3.412 eV per atom
- N(E_F): 5.73 states/eV/cell

Unit cell a=5.0657 b=5.0657 c=5.0657 alpha=90.00 beta=90.00 gamma=90.00
Last column: nearest neighbours and their distance in Å.
Sites, in units of the cell vectors:
Hg (0.0000, 0.0000, 0.0000)  6 Ru 2.53
Ru (0.0000, 0.0000, 0.5000)  2 Hg 2.53
Ru (0.0000, 0.5000, 0.0000)  2 Hg 2.53
Ru (0.5000, 0.0000, 0.0000)  2 Hg 2.53
N (0.5000, 0.5000, 0.5000)  12 Ru 3.58

=====

The following is a DFT calculation (PBE) of a relaxed structure of Ba2InAsPd6.

Values from the calculation:
- Symmetry: P-1, No. 2
- N(E_F): 4.49 states/eV/cell
- Energy of formation: -0.594 eV/atom

Unit cell a=6.7196 b=6.7247 c=7.1936 alpha=62.59 beta=62.46 gamma=60.30
Last column: nearest neighbours and their distance in Å.
Sites, in units of the cell vectors:
Ba (0.2214, 0.2215, 0.3353)  9 Pd 3.35-3.58
Ba (0.7786, 0.7785, 0.6647)  9 Pd 3.35-3.58
In (0.5000, 0.5000, 0.5000)  6 Pd 2.68
As (0.0000, 0.0000, 0.0000)  6 Pd 2.45
Pd (0.2444, 0.2448, 0.8509)  1 As 2.45, 1 In 2.68
Pd (0.2451, 0.6569, 0.8538)  1 As 2.45, 1 In 2.68
Pd (0.3416, 0.7567, 0.1477)  1 As 2.45, 1 In 2.68
Pd (0.6584, 0.2433, 0.8523)  1 As 2.45, 1 In 2.68
Pd (0.7549, 0.3431, 0.1462)  1 As 2.45, 1 In 2.68
Pd (0.7556, 0.7552, 0.1491)  1 As 2.45, 1 In 2.68

=====

The following is a DFT calculation (PBE) of a relaxed structure of Sn2HgGeH.

Values from the calculation:
- Symmetry: P4/mmm, No. 123
- Energy: -15.24 eV for the cell shown
- N(E_F): 1.88 states/eV/cell

Unit cell a=5.6098 b=5.6098 c=3.4566 alpha=90.00 beta=90.00 gamma=90.00
Last column: nearest neighbours and their distance in Å.
Sites, in units of the cell vectors:
Sn (0.0000, 0.5000, 0.0000)  2 Ge 2.80
Sn (0.5000, 0.0000, 0.0000)  2 Ge 2.80
Hg (0.0000, 0.0000, 0.5000)  8 Sn 3.29, 2 Hg 3.46
Ge (0.5000, 0.5000, 0.0000)  2 H 1.73
H (0.5000, 0.5000, 0.5000)  2 Ge 1.73

=====

The following is a DFT calculation (PBE) of a relaxed structure of HfTi5Ru4.

Values from the calculation:
- Symmetry: P4/mmm, No. 123
- N(E_F): 4.44 states/eV/cell
- Energy of formation: -0.603 eV/atom

Unit cell a=3.0874 b=3.0874 c=16.3166 alpha=90.00 beta=90.00 gamma=90.00
Last column: nearest neighbours and their distance in Å.
Sites, in units of the cell vectors:
Hf (0.0000, 0.0000, 0.0000)  8 Ti 2.97, 4 Hf 3.09
Ti (0.5000, 0.5000, 0.1233)  4 Ru 2.66, 4 Hf 2.97
Ti (0.5000, 0.5000, 0.3108)  8 Ru 2.67-2.68
Ti (0.5000, 0.5000, 0.5000)  8 Ru 2.67
Ti (0.5000, 0.5000, 0.6892)  8 Ru 2.67-2.68
Ti (0.5000, 0.5000, 0.8767)  4 Ru 2.66, 4 Hf 2.97
Ru (0.0000, 0.0000, 0.2162)  8 Ti 2.66-2.67
Ru (0.0000, 0.0000, 0.4056)  8 Ti 2.67-2.68
Ru (0.0000, 0.0000, 0.5944)  8 Ti 2.67-2.68
Ru (0.0000, 0.0000, 0.7838)  8 Ti 2.66-2.67

=====

The following is a DFT calculation (PBE) of a relaxed structure of TiGa3Br.

Values from the calculation:
- Symmetry: Pm-3m, No. 221
- Raw formation energy: 0.360 eV per atom
- N(E_F): 3.94 states/eV/cell

Unit cell a=5.2281 b=5.2281 c=5.2281 alpha=90.00 beta=90.00 gamma=90.00
Last column: nearest neighbours and their distance in Å.
Sites, in units of the cell vectors:
Ti (0.0000, 0.0000, 0.0000)  6 Ga 2.61
Ga (0.0000, 0.0000, 0.5000)  2 Ti 2.61
Ga (0.0000, 0.5000, 0.0000)  2 Ti 2.61
Ga (0.5000, 0.0000, 0.0000)  2 Ti 2.61
Br (0.5000, 0.5000, 0.5000)  12 Ga 3.70

=====

The following is a DFT calculation (PBE) of a relaxed structure of SrTm4Ge4.

Values from the calculation:
- Symmetry: P4_2/n, No. 86
- N(E_F): 6.61 states/eV/cell
- Energy of formation: -0.625 eV/atom

Unit cell a=9.4566 b=9.4566 c=5.6862 alpha=90.00 beta=90.00 gamma=90.00
Last column: nearest neighbours and their distance in Å.
Sites, in units of the cell vectors:
Sr (0.2500, 0.2500, 0.2500)  4 Ge 3.43
Sr (0.7500, 0.7500, 0.7500)  4 Ge 3.43
Tm (0.1133, 0.6309, 0.1363)  5 Ge 2.84-3.00
Tm (0.1309, 0.8867, 0.6363)  5 Ge 2.84-3.00
Tm (0.3691, 0.6133, 0.6363)  5 Ge 2.84-3.00
Tm (0.3867, 0.8691, 0.1363)  5 Ge 2.84-3.00
Tm (0.6133, 0.1309, 0.8637)  5 Ge 2.84-3.00
Tm (0.6309, 0.3867, 0.3637)  5 Ge 2.84-3.00
Tm (0.8691, 0.1133, 0.3637)  5 Ge 2.84-3.00
Tm (0.8867, 0.3691, 0.8637)  5 Ge 2.84-3.00
Ge (0.0652, 0.5814, 0.6510)  1 Ge 2.62, 3 Tm 2.84-2.89
Ge (0.0814, 0.9348, 0.1510)  1 Ge 2.62, 3 Tm 2.84-2.89
Ge (0.4186, 0.5652, 0.1510)  1 Ge 2.62, 3 Tm 2.84-2.89
Ge (0.4348, 0.9186, 0.6510)  1 Ge 2.62, 3 Tm 2.84-2.89
Ge (0.5652, 0.0814, 0.3490)  1 Ge 2.62, 3 Tm 2.84-2.89
Ge (0.5814, 0.4348, 0.8490)  1 Ge 2.62, 3 Tm 2.84-2.89
Ge (0.9186, 0.0652, 0.8490)  1 Ge 2.62, 3 Tm 2.84-2.89
Ge (0.9348, 0.4186, 0.3490)  1 Ge 2.62, 3 Tm 2.84-2.89

=====

The following is a DFT calculation (PBE) of a relaxed structure of Np2Ni3Ge4Ir.

Values from the calculation:
- Symmetry: P-4m2, No. 115
- N(E_F): 22.94 states/eV/cell
- Energy of formation: -0.387 eV/atom

Unit cell a=4.1046 b=4.1046 c=9.8435 alpha=90.00 beta=90.00 gamma=90.00
Last column: nearest neighbours and their distance in Å.
Sites, in units of the cell vectors:
Np (0.0000, 0.5000, 0.2458)  8 Ge 3.11-3.17, 6 Ni 3.15-3.24, 2 Ir 3.24
Np (0.5000, 0.0000, 0.7542)  8 Ge 3.11-3.17, 6 Ni 3.15-3.24, 2 Ir 3.24
Ni (0.0000, 0.5000, 0.8775)  5 Ge 2.32-2.38
Ni (0.5000, 0.0000, 0.1225)  5 Ge 2.32-2.38
Ni (0.5000, 0.5000, 0.5000)  4 Ge 2.48
Ge (0.0000, 0.0000, 0.0000)  4 Ni 2.38
Ge (0.0000, 0.5000, 0.6415)  3 Ni 2.32-2.48, 2 Ir 2.48
Ge (0.5000, 0.0000, 0.3585)  3 Ni 2.32-2.48, 2 Ir 2.48
Ge (0.5000, 0.5000, 0.0000)  4 Ni 2.38
Ir (0.0000, 0.0000, 0.5000)  4 Ge 2.48

=====

The following is a DFT calculation (PBE) of a relaxed structure of CeMgSiAg.

Values from the calculation:
- Symmetry: F-43m, No. 216
- Raw formation energy: -0.275 eV per atom
- N(E_F): 5.74 states/eV/cell

Unit cell a=4.9384 b=4.9384 c=4.9384 alpha=60.00 beta=60.00 gamma=60.00
Last column: nearest neighbours and their distance in Å.
Sites, in units of the cell vectors:
Ce (0.0000, 0.0000, 0.0000)  4 Si 3.02, 4 Ag 3.02
Mg (0.5000, 0.5000, 0.5000)  4 Si 3.02, 4 Ag 3.02
Si (0.7500, 0.7500, 0.7500)  4 Ce 3.02, 4 Mg 3.02
Ag (0.2500, 0.2500, 0.2500)  4 Ce 3.02, 4 Mg 3.02

=====

The following is a DFT calculation (PBE) of a relaxed structure of Li2CaS.

Values from the calculation:
- Symmetry: I-42d, No. 122
- Raw formation energy: -0.729 eV per atom
- N(E_F): 2.54 states/eV/cell

Unit cell a=6.5605 b=6.5605 c=6.5605 alpha=100.01 beta=100.01 gamma=130.73
Last column: nearest neighbours and their distance in Å.
Sites, in units of the cell vectors:
Li (0.0069, 0.6250, 0.8819)  2 S 2.48
Li (0.3750, 0.2569, 0.3819)  2 S 2.48
Li (0.7431, 0.1250, 0.1181)  2 S 2.48
Li (0.8750, 0.9931, 0.6181)  2 S 2.48
Ca (0.2500, 0.7500, 0.5000)  2 S 2.73
Ca (0.5000, 0.5000, 0.0000)  2 S 2.73
S (0.0000, 0.0000, 0.0000)  4 Li 2.48, 2 Ca 2.73
S (0.7500, 0.2500, 0.5000)  4 Li 2.48, 2 Ca 2.73